[1]
The following is a GGA-PBE calculation of an optimized crystal structure of Li2PuNpSe4, from Alexandria.

Results
Raw total energy ... -6.940 eV/atom
Formation energy from raw total energies ... -1.310 eV per atom
Magnetization ... 1.125 μB per atom

The structure in extended XYZ format:
```
8
Lattice="-3.960 -0.864 0.724 0.378 -5.512 -4.519 1.603 -2.028 6.353" Properties=species:S:1:pos:R:3 pbc="T T T"
Pu -1.791 -3.188 -1.898
Se 1.288 -2.867 3.626
Se 0.693 -4.672 -1.792
Se -1.478 -2.321 0.855
Se -0.501 -6.083 1.703
Li 0.990 -3.770 0.917
Li -1.178 -1.446 3.538
Np 0.000 0.000 0.000
```

[2]
The following is a GGA-PBE calculation of an optimized crystal structure of Li2PuNp3Se6, from Alexandria.

Results
Raw total energy ... -7.504 eV/atom
Formation energy from raw total energies ... -1.014 eV per atom
Magnetization ... 0.349 μB per atom

The structure in extended XYZ format:
```
12
Lattice="-2.169 -1.174 -3.221 6.595 0.636 -4.673 1.494 -7.779 4.384" Properties=species:S:1:pos:R:3 pbc="T T T"
Np 2.213 -0.269 -3.947
Np 0.308 -6.044 -0.560
Np 5.611 -2.273 -2.950
Se 6.294 -5.017 -2.411
Se -0.375 -3.301 -1.099
Se 2.864 -3.056 -3.370
Se 3.055 -5.261 -0.141
Se 4.281 -8.414 -2.372
Se 1.638 0.097 -1.138
Pu -1.085 -0.587 -1.610
Li 2.396 -2.637 -0.652
Li 3.524 -5.681 -2.858
```

[3]
The following is a GGA-PBE calculation of an optimized crystal structure of Li3PuNp2Se6, from Alexandria.

Results
Raw total energy ... -6.805 eV/atom
Formation energy from raw total energies ... -1.233 eV per atom
Magnetization ... 0.189 μB per atom

The structure in extended XYZ format:
```
12
Lattice="-4.085 1.077 -5.778 -2.957 -2.316 6.093 1.356 6.520 1.735" Properties=species:S:1:pos:R:3 pbc="T T T"
Se -4.903 0.753 0.681
Se -1.259 0.771 2.541
Se -4.044 3.355 3.545
Se -4.427 4.509 -0.491
Se -1.642 1.925 -1.495
Se -0.783 4.528 1.369
Li -2.843 2.640 1.025
Li -3.219 3.770 -2.928
Li -2.467 1.510 4.978
Np -3.333 -1.185 2.135
Np -3.709 -0.054 -1.819
Pu 0.000 0.000 0.000
```

[4]
The following is a GGA-PBE calculation of an optimized crystal structure of LiPuNpTe3, from Alexandria.

Results
Raw total energy ... -7.295 eV/atom
Formation energy from raw total energies ... -0.860 eV per atom
Magnetization ... 1.663 μB per atom

The structure in extended XYZ format:
```
12
Lattice="-3.029 1.939 -2.331 -1.355 -7.633 -4.587 -6.048 -0.706 7.272" Properties=species:S:1:pos:R:3 pbc="T T T"
Np -7.796 -1.665 2.835
Np -2.637 -4.735 -2.482
Te -3.922 -1.927 -2.417
Te -6.146 -0.827 5.328
Te -6.511 -4.473 2.770
Te -4.286 -5.573 -4.975
Te -4.835 -5.729 -0.452
Te -5.598 -0.671 0.806
Li -6.042 -5.821 -2.900
Li -4.390 -0.579 3.253
Pu -2.374 -1.057 0.235
Pu -8.059 -5.343 0.118
```

[5]
The following is a GGA-PBE calculation of an optimized crystal structure of LiPuNp2Te5, from Alexandria.

Results
Raw total energy ... -7.151 eV/atom
Formation energy from raw total energies ... -0.725 eV per atom
Magnetization ... 0.300 μB per atom

The structure in extended XYZ format:
```
18
Lattice="-3.338 -0.578 -2.671 -3.847 -1.145 8.539 -2.666 12.938 0.534" Properties=species:S:1:pos:R:3 pbc="T T T"
Te -2.367 2.944 -1.162
Te -5.206 8.074 4.760
Te -0.196 0.250 0.191
Te -8.440 5.069 5.967
Te -4.333 1.631 1.579
Te -7.487 8.284 7.565
Te -3.896 -0.770 5.036
Te -4.347 3.665 4.640
Te -6.047 10.184 1.871
Te -4.717 5.977 1.118
Np -6.392 1.077 4.272
Np -3.141 8.593 2.067
Np -2.135 4.168 1.766
Np -8.231 9.544 4.738
Pu -6.580 5.574 3.534
Pu -2.065 -0.213 2.626
Li -4.747 11.585 -0.057
Li -6.063 4.282 6.651
```

[6]
The following is a GGA-PBE calculation of an optimized crystal structure of Li3PuNp2Te6, from Alexandria.

Results
Raw total energy ... -6.271 eV/atom
Formation energy from raw total energies ... -0.871 eV per atom
Magnetization ... 1.083 μB per atom

The structure in extended XYZ format:
```
12
Lattice="-3.013 6.817 1.488 -3.753 -6.319 1.936 5.425 -0.131 5.117" Properties=species:S:1:pos:R:3 pbc="T T T"
Te -1.144 -1.932 6.432
Te -0.445 -2.114 2.260
Te -0.196 2.299 2.110
Te -3.675 0.340 3.890
Te -0.895 2.481 6.281
Te 2.335 0.027 4.652
Np -3.259 2.436 1.638
Np -3.506 -1.939 1.787
Li -0.916 -4.188 4.420
Li -0.670 0.183 4.271
Li -0.424 4.555 4.122
Pu 0.000 0.000 0.000
```

[7]
The following is a GGA-PBE calculation of an optimized crystal structure of Rb4LiNp3S8, from Alexandria.

Results
Raw total energy ... -6.183 eV/atom
Formation energy from raw total energies ... -1.331 eV per atom
Magnetization ... 0.625 μB per atom

The structure in extended XYZ format:
```
16
Lattice="8.189 0.000 0.000 0.000 8.945 0.523 -4.094 -4.089 5.796" Properties=species:S:1:pos:R:3 pbc="T T T"
S 6.063 2.607 0.449
S 0.000 0.557 3.286
S 1.968 2.248 5.870
S 4.094 0.642 3.233
S -1.968 2.248 5.870
S 0.000 4.213 3.086
S 4.094 4.299 3.033
S 2.126 2.607 0.449
Rb -2.047 -2.044 2.898
Rb 2.047 -2.044 2.898
Rb 0.000 0.000 0.000
Rb 4.094 0.000 0.000
Li 0.000 4.472 0.262
Np 2.047 2.428 3.160
Np -2.047 2.428 3.160
Np 4.094 4.472 0.262
```

[8]
The following is a GGA-PBE calculation of an optimized crystal structure of Rb2LiNp3S8, from Alexandria.

Results
Raw total energy ... -6.689 eV/atom
Formation energy from raw total energies ... -1.283 eV per atom
Magnetization ... 0.571 μB per atom

The structure in extended XYZ format:
```
14
Lattice="-1.592 7.800 -0.201 -1.389 3.603 -6.965 -8.930 2.201 -1.634" Properties=species:S:1:pos:R:3 pbc="T T T"
S -3.315 5.383 -5.660
S -4.069 9.077 -5.755
S -8.337 4.425 -2.996
S -3.411 7.371 -2.457
S -2.582 3.481 -2.237
S -8.995 6.133 -6.297
S -9.091 8.122 -3.091
S -9.766 10.035 -6.520
Li -3.517 11.295 -7.115
Np -2.521 9.539 -3.669
Np -2.420 7.456 -7.026
Np -1.731 5.668 -3.569
Rb -6.192 6.754 -4.377
Rb -5.698 2.852 -1.941
```

[9]
The following is a GGA-PBE calculation of an optimized crystal structure of RbLiNpS3, from Alexandria.

Results
Raw total energy ... -6.057 eV/atom
Formation energy from raw total energies ... -1.356 eV per atom
Magnetization ... 0.500 μB per atom

The structure in extended XYZ format:
```
12
Lattice="-2.422 2.776 1.773 -5.297 -6.560 3.036 6.606 1.690 6.381" Properties=species:S:1:pos:R:3 pbc="T T T"
S 4.407 1.273 6.387
S 2.219 -1.326 7.466
S 0.767 1.697 5.463
S -5.521 -3.367 4.802
S -3.332 -0.769 3.723
S -1.881 -3.791 5.726
Rb -0.035 -0.267 2.728
Rb -1.078 -1.827 8.461
Li 2.915 1.184 4.486
Li -4.028 -3.278 6.704
Np -3.182 -3.491 3.477
Np 2.069 1.397 7.713
```

[10]
The following is a GGA-PBE calculation of an optimized crystal structure of Rb3LiNp3S8, from Alexandria.

Results
Raw total energy ... -6.421 eV/atom
Formation energy from raw total energies ... -1.311 eV per atom
Magnetization ... 0.600 μB per atom

The structure in extended XYZ format:
```
15
Lattice="-2.816 0.634 -7.495 7.345 -2.987 1.291 -6.933 -5.307 2.156" Properties=species:S:1:pos:R:3 pbc="T T T"
S -2.627 -1.663 -1.398
S -3.464 -4.582 -3.390
S 1.060 -3.078 -0.659
S -0.460 -2.788 -4.367
S 1.571 -6.301 0.936
S -1.944 -4.872 0.318
S -3.975 -1.359 -4.984
S 0.223 -5.998 -2.650
Rb 3.672 -1.494 0.646
Rb 0.000 0.000 0.000
Rb 2.264 -1.177 -3.102
Np 0.206 -4.147 1.724
Np -4.874 -2.336 -2.670
Np -1.202 -3.830 -2.024
Li -3.466 -2.654 1.078
```